[1]
DFT (GGA-PBE) results for a relaxed structure of RbHoNb.

abc: 5.5693 5.5693 5.5693
angles: 60.00 60.00 60.00
Positions (direct):
Rb: 0.0000 0.0000 0.0000
Ho: 0.5000 0.5000 0.5000
Nb: 0.7500 0.7500 0.7500

Properties
ΔE to the lowest computed polymorph = 0.575 eV/atom
Size of the total moment = 4.9 μB per cell
VASP energy = -3.53 eV per atom
Theoretical density = 4.7 g cm⁻³


[2]
DFT (GGA-PBE) results for a relaxed structure of Sn2PtO3.

abc: 6.8534 6.8534 6.8534
angles: 150.20 145.37 46.32
Positions (direct):
Sn: 0.1503 0.1503 0.0000
Sn: 0.8497 0.8497 0.0000
Pt: 0.5000 0.5000 0.0000
O: 0.0000 0.5000 0.5000
O: 0.3350 0.3350 0.0000
O: 0.6650 0.6650 0.0000

Properties
Size of the total moment = 0.0 μB per cell
VASP energy = -5.42 eV per atom
Theoretical density = 8.8 g cm⁻³


[3]
DFT (GGA-PBE) results for a relaxed structure of TbYBrNCl2.

abc: 8.3997 8.3997 10.8365
angles: 119.69 119.69 26.70
Positions (direct):
Tb: 0.0848 0.0848 0.4544
Tb: 0.9152 0.9152 0.5456
Y: 0.3653 0.3653 0.2136
Y: 0.6347 0.6347 0.7864
Br: 0.1589 0.1589 0.0185
Br: 0.8411 0.8411 0.9815
N: 0.0752 0.0752 0.6546
N: 0.9248 0.9248 0.3454
Cl: 0.2812 0.2812 0.3910
Cl: 0.4519 0.4519 0.7474
Cl: 0.5481 0.5481 0.2526
Cl: 0.7188 0.7188 0.6090

Properties
ΔE to the lowest computed polymorph = 0.003 eV/atom
Size of the total moment = 0.0 μB per cell
VASP energy = -6.16 eV per atom
Theoretical density = 4.6 g cm⁻³


[4]
DFT (GGA-PBE) results for a relaxed structure of ScCo2B.

abc: 4.0241 4.0241 4.0241
angles: 60.00 60.00 60.00
Positions (direct):
Sc: 0.0000 0.0000 0.0000
Co: 0.2500 0.2500 0.2500
Co: 0.5000 0.5000 0.5000
B: 0.7500 0.7500 0.7500

Properties
Size of the total moment = 0.1 μB per cell
VASP energy = -6.58 eV per atom
Theoretical density = 6.3 g cm⁻³


[5]
DFT (GGA-PBE) results for a relaxed structure of NbCuPbAu.

abc: 4.7437 4.7437 4.7437
angles: 60.00 60.00 60.00
Positions (direct):
Nb: 0.0000 0.0000 0.0000
Cu: 0.5000 0.5000 0.5000
Pb: 0.2500 0.2500 0.2500
Au: 0.7500 0.7500 0.7500

Properties
ΔE to the lowest computed polymorph = 0.000 eV/atom
Size of the total moment = 1.2 μB per cell
VASP energy = -4.84 eV per atom
Theoretical density = 12.3 g cm⁻³


[6]
DFT (GGA-PBE) results for a relaxed structure of Y2HoFe6Ni3.

abc: 8.7674 8.7674 8.7674
angles: 32.83 32.83 32.83
Positions (direct):
Y: 0.1412 0.1412 0.1412
Y: 0.8588 0.8588 0.8588
Ho: 0.0000 0.0000 0.0000
Fe: 0.0801 0.5820 0.5820
Fe: 0.4180 0.4180 0.9199
Fe: 0.4180 0.9199 0.4180
Fe: 0.5820 0.0801 0.5820
Fe: 0.5820 0.5820 0.0801
Fe: 0.9199 0.4180 0.4180
Ni: 0.3332 0.3332 0.3332
Ni: 0.5000 0.5000 0.5000
Ni: 0.6668 0.6668 0.6668

Properties
Size of the total moment = 13.0 μB per cell
VASP energy = -7.15 eV per atom
Formation enthalpy at 0 K = -143 meV/atom
Theoretical density = 8.0 g cm⁻³


> What is the theoretical density in the fifth record?

12.3 g cm⁻³


> Which value of theoretical density does entry 2 give?

8.8 g cm⁻³